Entry 1:
PrEuNiAu, relaxed, DFT PBE-GGA; space group = F-43m, No. 216; spin magnetization = 7.075 μB per formula unit; formation enthalpy at 0 K = -0.412 eV per atom; DOS(E_F) = 2.351 states/eV per atom
1.0
5.148 0.000 0.000
2.574 4.458 0.000
2.574 1.486 4.203
Eu Pr Au Ni
1 1 1 1
Direct
0.000 0.000 0.000
0.500 0.500 0.500
0.750 0.750 0.750
0.250 0.250 0.250

---

Entry 2:
Mg2Ag, relaxed, DFT PBE-GGA; space group = Cmcm, No. 63; spin magnetization = 0.000 μB per formula unit; formation enthalpy at 0 K = -0.085 eV per atom; DOS(E_F) = 0.413 states/eV per atom
1.0
3.280 0.000 0.000
1.640 7.424 0.000
0.000 0.000 4.991
Ag Mg
2 4
Direct
0.001 0.999 0.000
0.555 0.890 0.500
0.659 0.681 0.000
0.342 0.316 0.000
0.213 0.573 0.500
0.896 0.208 0.500

---

Entry 3:
Na2Ta2TiSe6, relaxed, DFT PBE-GGA; formation energy without anion corrections = -0.967 eV/atom; space group = C2/m, No. 12; spin magnetization = 0.389 μB per formula unit; DOS(E_F) = 0.435 states/eV per atom
1.0
6.294 -0.022 0.135
-3.130 5.461 0.135
-1.033 -1.775 7.329
Na Ta Ti Se
2 2 1 6
Direct
0.820 0.180 0.000
0.180 0.820 0.000
0.366 0.634 0.500
0.634 0.366 0.500
0.000 0.000 0.500
0.749 0.749 0.738
0.051 0.393 0.700
0.251 0.251 0.262
0.393 0.051 0.700
0.949 0.607 0.300
0.607 0.949 0.300

---

Entry 4:
Li2ScW, relaxed, DFT PBE-GGA; excess energy over the best structure of this formula in the dataset = 257 meV per atom; space group = P4/mmm, No. 123; spin magnetization = 0.001 μB per formula unit; formation enthalpy at 0 K = 0.532 eV per atom; DOS(E_F) = 1.228 states/eV per atom
1.0
-1.248 1.269 2.021
0.223 -2.208 1.525
8.634 3.177 3.335
Li Sc W
2 1 1
Direct
0.000 0.000 0.979
0.000 0.000 0.521
0.500 0.500 0.250
0.500 0.500 0.750

---

Entry 5:
ReAg2W, relaxed, DFT PBE-GGA; excess energy over the best structure of this formula in the dataset = 0 meV per atom; space group = Cmm2, No. 35; spin magnetization = 0.000 μB per formula unit; formation enthalpy at 0 K = 0.357 eV per atom; DOS(E_F) = 0.513 states/eV per atom
1.0
-2.276 -1.532 0.193
1.082 -0.087 -2.527
5.285 -7.532 2.521
Re Ag W
1 2 1
Direct
0.000 0.000 0.514
0.000 0.000 0.996
0.500 0.500 0.254
0.500 0.500 0.736

---

Entry 6:
SrYCdIn, relaxed, DFT PBE-GGA; excess energy over the best structure of this formula in the dataset = 40 meV per atom; space group = F-43m, No. 216; spin magnetization = 0.000 μB per formula unit; formation enthalpy at 0 K = -0.364 eV per atom; DOS(E_F) = 0.640 states/eV per atom
1.0
-0.399 4.680 2.891
-3.312 4.048 -1.749
-4.637 1.153 2.754
Y Sr Cd In
1 1 1 1
Direct
0.750 0.750 0.750
0.250 0.250 0.250
0.000 0.000 0.000
0.500 0.500 0.500

---

Entry 7:
TbPu3Pd12, relaxed, DFT PBE-GGA; space group = P4/mmm, No. 123; spin magnetization = 9.067 μB per formula unit; formation enthalpy at 0 K = -0.525 eV per atom; DOS(E_F) = 2.926 states/eV per atom
1.0
4.138 0.000 0.000
0.000 4.138 0.000
0.000 0.000 16.541
Tb Pu Pd
1 3 12
Direct
0.000 0.000 0.000
0.000 0.000 0.249
0.000 0.000 0.500
0.000 0.000 0.751
0.500 0.500 0.000
0.500 0.500 0.251
0.500 0.500 0.500
0.500 0.500 0.749
0.500 0.000 0.126
0.500 0.000 0.377
0.500 0.000 0.623
0.500 0.000 0.874
0.000 0.500 0.126
0.000 0.500 0.377
0.000 0.500 0.623
0.000 0.500 0.874

---

Entry 8:
Pm2TmLu, relaxed, DFT PBE-GGA; excess energy over the best structure of this formula in the dataset = 74 meV per atom; space group = Fm-3m, No. 225; spin magnetization = 0.002 μB per formula unit; formation enthalpy at 0 K = 0.094 eV per atom; DOS(E_F) = 1.586 states/eV per atom
1.0
-3.985 -4.002 -0.515
-0.424 -2.977 -4.808
1.475 -5.475 -0.084
Lu Tm Pm
1 1 2
Direct
0.000 0.000 0.000
0.500 0.500 0.500
0.250 0.250 0.250
0.750 0.750 0.750

---

Entry 9:
AlClF, relaxed, DFT PBE-GGA; formation energy without anion corrections = -2.025 eV/atom; space group = P-1, No. 2; spin magnetization = 0.000 μB per formula unit; DOS(E_F) = 0.000 states/eV per atom
1.0
3.695 -0.506 0.410
0.983 6.144 -0.922
2.845 -2.256 5.917
Cl F Al
2 2 2
Direct
0.654 0.698 0.850
0.346 0.302 0.150
0.254 0.004 0.746
0.746 0.996 0.254
0.778 0.002 0.722
0.222 0.998 0.278

---

Entry 10:
Th2CuNiAu, relaxed, DFT PBE-GGA; space group = P2_1/m, No. 11; spin magnetization = 0.000 μB per formula unit; formation enthalpy at 0 K = -0.437 eV per atom; DOS(E_F) = 0.793 states/eV per atom
1.0
-3.597 -2.187 1.218
0.190 -3.733 -6.141
3.868 -3.548 5.054
Th Cu Ni Au
4 2 2 2
Direct
0.750 0.858 0.644
0.750 0.709 0.050
0.250 0.142 0.356
0.250 0.291 0.950
0.250 0.567 0.686
0.750 0.433 0.314
0.250 0.907 0.927
0.750 0.093 0.073
0.250 0.670 0.341
0.750 0.330 0.659

---

Entry 11:
NaPmTl, relaxed, DFT PBE-GGA; excess energy over the best structure of this formula in the dataset = 81 meV per atom; space group = P3m1, No. 156; spin magnetization = 0.001 μB per formula unit; formation enthalpy at 0 K = -0.098 eV per atom; DOS(E_F) = 0.821 states/eV per atom
1.0
-1.122 -2.289 -2.297
0.046 -3.820 3.784
-4.423 2.955 -0.783
Na Tl Pm
1 1 1
Direct
0.836 0.000 0.000
0.831 0.667 0.333
0.333 0.333 0.667

---

Entry 12:
SmEr2C, relaxed, DFT PBE-GGA; excess energy over the best structure of this formula in the dataset = 0 meV per atom; space group = R3m, No. 160; spin magnetization = 0.381 μB per formula unit; formation enthalpy at 0 K = -0.204 eV per atom; DOS(E_F) = 0.890 states/eV per atom
1.0
-1.957 -2.290 1.897
0.175 -0.316 -3.542
8.477 -3.849 0.763
Sm Er C
1 2 1
Direct
0.669 0.834 0.503
0.764 0.382 0.146
0.235 0.618 0.853
0.999 0.999 0.998